[1]
Entry from Alexandria: a relaxed structure of Al5Zn3 (PBEsol).

a = 5.529 Å, b = 5.529 Å, c = 4.069 Å
α = 90.00°, β = 90.00°, γ = 90.62°
Positions (direct):
1 Al 0.000 0.000 0.000
2 Al 0.000 0.500 0.000
3 Al 0.254 0.254 0.500
4 Al 0.500 0.000 0.000
5 Al 0.746 0.746 0.500
6 Zn 0.247 0.753 0.500
7 Zn 0.500 0.500 0.000
8 Zn 0.753 0.247 0.500

**Formation energy**: 0.030 eV/atom
**Excess energy over the best structure of this formula in the dataset**: 0.000 eV/atom

---

[2]
Entry from Alexandria: a relaxed structure of Li2YSb (PBEsol).

a = 3.408 Å, b = 4.246 Å, c = 6.184 Å
α = 90.00°, β = 90.00°, γ = 90.00°
Positions (direct):
1 Li 0.000 0.000 0.211
2 Li 0.000 0.000 0.789
3 Y 0.500 0.500 0.500
4 Sb 0.500 0.500 0.000

**Uncorrected energy**: -16.61 eV per cell

---

[3]
Entry from Alexandria: a relaxed structure of MnTl2Hg (PBEsol).

a = 5.556 Å, b = 5.556 Å, c = 5.556 Å
α = 132.83°, β = 132.83°, γ = 68.93°
Positions (direct):
1 Mn 0.000 0.000 0.000
2 Tl 0.250 0.750 0.500
3 Tl 0.750 0.250 0.500
4 Hg 0.500 0.500 0.000

**Formation energy**: 0.412 eV/atom
**Excess energy over the best structure of this formula in the dataset**: 0.105 eV/atom

---

[4]
Entry from Alexandria: a relaxed structure of LaAlCl2 (PBEsol).

a = 9.773 Å, b = 9.773 Å, c = 9.773 Å
α = 20.66°, β = 20.66°, γ = 20.66°
Positions (direct):
1 La 0.000 0.000 0.000
2 Al 0.500 0.500 0.500
3 Cl 0.405 0.405 0.405
4 Cl 0.595 0.595 0.595

**Excess energy over the best structure of this formula in the dataset**: 0.000 eV/atom

---

[5]
Entry from Alexandria: a relaxed structure of Te3AuSe (PBEsol).

a = 5.305 Å, b = 5.305 Å, c = 5.305 Å
α = 90.00°, β = 90.00°, γ = 90.00°
Positions (direct):
1 Te 0.000 0.000 0.500
2 Te 0.000 0.500 0.000
3 Te 0.500 0.000 0.000
4 Au 0.000 0.000 0.000
5 Se 0.500 0.500 0.500

**Uncorrected energy**: -14.93 eV per cell

---

[6]
Entry from Alexandria: a relaxed structure of SrRhCl2 (PBEsol).

a = 8.093 Å, b = 8.093 Å, c = 8.093 Å
α = 28.53°, β = 28.53°, γ = 28.53°
Positions (direct):
1 Sr 0.000 0.000 0.000
2 Rh 0.500 0.500 0.500
3 Cl 0.118 0.118 0.118
4 Cl 0.882 0.882 0.882

**Excess energy over the best structure of this formula in the dataset**: 0.434 eV/atom

---

Computed total moment, in the same sequence as the records: 0.000; 0.001; 1.027; 0.000; 0.000; 0.428 μB/atom.